Record 1
! MgCdP PBE-GGA optimized geometry; values from VASP
&SYSTEM
  ibrav = 0, nat = 3, ntyp = 3
/
ATOMIC_SPECIES
Mg 24.30 Mg.upf
Cd 112.41 Cd.upf
P 30.97 P.upf
ATOMIC_POSITIONS angstrom
Mg 0.000 0.000 0.000
Cd 3.225 3.225 3.225
P 4.837 4.837 4.837
CELL_PARAMETERS angstrom
0.000 3.225 3.225
3.225 0.000 3.225
3.225 3.225 0.000
! - energy of formation (eV per atom) = -0.08
! - magnetic moment (Bohr magnetons per cell) = 0.00



Record 2
! SrMo3Au PBE-GGA optimized geometry; values from VASP
&SYSTEM
  ibrav = 0, nat = 5, ntyp = 3
/
ATOMIC_SPECIES
Sr 87.62 Sr.upf
Mo 95.94 Mo.upf
Au 196.97 Au.upf
ATOMIC_POSITIONS angstrom
Sr 0.000 0.000 0.000
Mo 0.000 2.503 2.503
Mo 2.503 0.000 2.503
Mo 2.503 2.503 0.000
Au 2.503 2.503 2.503
CELL_PARAMETERS angstrom
5.006 0.000 0.000
0.000 5.006 0.000
0.000 0.000 5.006
! - energy of formation (eV per atom) = 1.89
! - magnetic moment (Bohr magnetons per cell) = 0.00



Record 3
! NaHPdRh2 PBE-GGA optimized geometry; values from VASP
&SYSTEM
  ibrav = 0, nat = 5, ntyp = 4
/
ATOMIC_SPECIES
Na 22.99 Na.upf
H 1.01 H.upf
Pd 106.42 Pd.upf
Rh 102.91 Rh.upf
ATOMIC_POSITIONS angstrom
Na 0.000 0.000 0.000
H 1.964 1.964 2.080
Pd 1.964 1.964 0.000
Rh 0.000 1.964 2.080
Rh 1.964 0.000 2.080
CELL_PARAMETERS angstrom
3.927 0.000 0.000
0.000 3.927 0.000
0.000 0.000 4.159
! - E (Ry per atom) = -0.35157
! - magnetic moment (Bohr magnetons per cell) = 0.00



Record 4
! MnNiSbI2 PBE-GGA optimized geometry; values from VASP
&SYSTEM
  ibrav = 0, nat = 5, ntyp = 4
/
ATOMIC_SPECIES
Mn 54.94 Mn.upf
Ni 58.69 Ni.upf
Sb 121.76 Sb.upf
I 126.90 I.upf
ATOMIC_POSITIONS angstrom
Mn 0.000 0.000 0.000
Ni 2.724 2.724 2.611
Sb 0.000 0.000 2.611
I 0.000 2.724 0.000
I 2.724 0.000 0.000
CELL_PARAMETERS angstrom
5.449 0.000 0.000
0.000 5.449 0.000
0.000 0.000 5.223
! - formation energy from raw total energies (meV per atom) = 839
! - magnetic moment (Bohr magnetons per cell) = 4.26



Record 5
! Cd2WCl PBE-GGA optimized geometry; values from VASP
&SYSTEM
  ibrav = 0, nat = 4, ntyp = 3
/
ATOMIC_SPECIES
Cd 112.41 Cd.upf
W 183.84 W.upf
Cl 35.45 Cl.upf
ATOMIC_POSITIONS angstrom
Cd 0.000 0.000 0.000
Cd 0.001 2.238 3.976
W 1.533 0.000 2.651
Cl 1.533 2.238 1.460
CELL_PARAMETERS angstrom
3.065 0.000 0.000
0.000 4.476 0.000
-1.524 0.000 5.587
! - formation energy from raw total energies (meV per atom) = 486
! - magnetic moment (Bohr magnetons per cell) = 0.00



Record 6
! GdDyAlAu PBE-GGA optimized geometry; values from VASP
&SYSTEM
  ibrav = 0, nat = 4, ntyp = 4
/
ATOMIC_SPECIES
Gd 157.25 Gd.upf
Dy 162.50 Dy.upf
Al 26.98 Al.upf
Au 196.97 Au.upf
ATOMIC_POSITIONS angstrom
Gd 0.000 0.000 0.000
Dy 3.646 3.646 3.646
Al 1.823 1.823 1.823
Au 5.468 5.468 5.468
CELL_PARAMETERS angstrom
0.000 3.646 3.646
3.646 0.000 3.646
3.646 3.646 0.000
! - energy of formation (eV per atom) = -0.56
! - magnetic moment (Bohr magnetons per cell) = 7.39



Record 7
! ErTl2P2Pd7 PBE-GGA optimized geometry; values from VASP
&SYSTEM
  ibrav = 0, nat = 12, ntyp = 4
/
ATOMIC_SPECIES
Er 167.26 Er.upf
Tl 204.38 Tl.upf
P 30.97 P.upf
Pd 106.42 Pd.upf
ATOMIC_POSITIONS angstrom
Er 0.000 0.000 0.000
Tl -0.216 0.000 5.182
Tl 3.831 0.000 8.292
P 0.746 0.000 10.143
P 2.869 0.000 3.331
Pd 1.443 1.448 2.115
Pd 0.941 0.000 7.842
Pd 2.171 1.448 11.359
Pd 2.887 0.000 0.000
Pd 1.443 -1.448 2.115
Pd 2.673 0.000 5.633
Pd 2.171 -1.448 11.359
CELL_PARAMETERS angstrom
2.887 -2.885 0.000
2.887 2.885 0.000
-2.160 0.000 13.474
! - energy of formation (eV per atom) = -0.49
! - magnetic moment (Bohr magnetons per cell) = 0.00



Record 8
! Er5Si2Ge PBE-GGA optimized geometry; values from VASP
&SYSTEM
  ibrav = 0, nat = 16, ntyp = 3
/
ATOMIC_SPECIES
Er 167.26 Er.upf
Si 28.09 Si.upf
Ge 72.64 Ge.upf
ATOMIC_POSITIONS angstrom
Er 0.000 0.000 0.000
Er 5.018 1.254 -1.927
Er 1.254 2.509 -1.927
Er 5.018 1.254 1.927
Er 1.254 2.509 1.927
Er 0.000 0.000 6.674
Er 2.509 1.254 4.747
Er -1.254 2.509 4.747
Er 2.509 1.254 8.601
Er -1.254 2.509 8.601
Si 2.785 0.979 0.000
Si 2.785 -0.979 6.674
Si 0.979 4.742 0.000
Si 0.979 2.785 6.674
Ge 0.000 0.000 3.337
Ge 0.000 0.000 10.011
CELL_PARAMETERS angstrom
-3.764 3.764 6.674
3.764 -3.764 6.674
3.764 3.764 -6.674
! - formation energy from raw total energies (meV per atom) = -688
! - magnetic moment (Bohr magnetons per cell) = 0.01